# 1
The following is a DFT calculation (GGA-PBE) of KNiBiC6S6N6 after structural relaxation.

- Total moment: 4.0 μB per cell
- Electronic total energy: -6.595 eV/atom

a b c (Å): 8.508 8.541 11.950
angles (deg): 98.11 90.06 90.67
Space group P-1 (No. 2)
Symmetry-distinct sites (fractional):
K 0.013 0.338 0.231 x2
Ni 0.000 0.000 0.000 x1
Ni 0.500 0.500 0.500 x1
Bi 0.000 0.000 0.500 x1
Bi 0.500 0.500 0.000 x1
C 0.167 0.711 0.089 x2
C 0.168 0.636 0.449 x2
C 0.173 0.978 0.761 x2
C 0.330 0.162 0.073 x2
C 0.330 0.178 0.391 x2
C 0.343 0.434 0.734 x2
S 0.019 0.329 0.573 x2
S 0.233 0.020 0.332 x2
S 0.249 0.395 0.848 x2
S 0.266 0.598 0.164 x2
S 0.267 0.981 0.642 x2
S 0.484 0.790 0.909 x2
N 0.098 0.795 0.037 x2
N 0.104 0.969 0.845 x2
N 0.195 0.128 0.063 x2
N 0.300 0.607 0.464 x2
N 0.402 0.292 0.429 x2
N 0.406 0.462 0.651 x2

# 2
The following is a DFT calculation (GGA-PBE) of Lu4Bi3Mo2C3 after structural relaxation.

- Total moment: 0.0 μB per cell
- Electronic total energy: -6.977 eV/atom

a b c (Å): 10.356 6.035 14.963
angles (deg): 90.00 101.91 90.00
Space group C2/c (No. 15)
Symmetry-distinct sites (fractional):
Lu 0.110 0.075 0.087 x8
Lu 0.218 0.087 0.413 x8
Bi 0.000 0.114 0.750 x4
Bi 0.159 0.425 0.252 x8
Mo 0.071 0.410 0.934 x8
C 0.077 0.270 0.500 x8
C 0.250 0.250 0.000 x4

# 3
The following is a DFT calculation (GGA-PBE) of Lu4Bi2CN after structural relaxation.

- Total moment: 0.0 μB per cell
- Electronic total energy: -6.332 eV/atom

a b c (Å): 3.5512 3.5512 14.9860
angles (deg): 90.00 90.00 120.00
Space group P-3m1 (No. 164)
Symmetry-distinct sites (fractional):
Lu 0.3333 0.6667 0.0839 x2
Lu 0.3333 0.6667 0.4176 x2
Bi 0.3333 0.6667 0.7472 x2
C 0.0000 0.0000 0.0000 x1
N 0.0000 0.0000 0.5000 x1

# 4
The following is a DFT calculation (GGA-PBE) of Lu4Nb2Bi3C3 after structural relaxation.

- Total moment: 0.0 μB per cell
- Electronic total energy: -7.003 eV/atom

a b c (Å): 10.441 6.053 15.200
angles (deg): 90.00 102.92 90.00
Space group C2/c (No. 15)
Symmetry-distinct sites (fractional):
Lu 0.112 0.074 0.086 x8
Lu 0.217 0.088 0.414 x8
Nb 0.065 0.413 0.928 x8
Bi 0.000 0.105 0.750 x4
Bi 0.159 0.426 0.249 x8
C 0.078 0.267 0.500 x8
C 0.250 0.250 0.000 x4

# 5
The following is a DFT calculation (GGA-PBE) of Lu2Sc4Bi3C3 after structural relaxation.

- Total moment: 0.0 μB per cell
- Electronic total energy: -6.830 eV/atom

a b c (Å): 10.492 6.055 15.318
angles (deg): 90.00 103.20 90.00
Space group C2/c (No. 15)
Symmetry-distinct sites (fractional):
Lu 0.055 0.083 0.415 x8
Sc 0.110 0.416 0.579 x8
Sc 0.224 0.417 0.921 x8
Bi 0.000 0.432 0.250 x4
Bi 0.174 0.089 0.750 x8
C 0.085 0.255 0.000 x8
C 0.250 0.250 0.500 x4

# 6
The following is a DFT calculation (GGA-PBE) of Lu4Ta2Bi3C3 after structural relaxation.

- Total moment: 0.0 μB per cell
- Electronic total energy: -7.280 eV/atom

a b c (Å): 10.434 6.044 15.128
angles (deg): 90.00 103.08 90.00
Space group C2/c (No. 15)
Symmetry-distinct sites (fractional):
Lu 0.112 0.072 0.086 x8
Lu 0.216 0.089 0.414 x8
Ta 0.066 0.412 0.929 x8
Bi 0.000 0.106 0.750 x4
Bi 0.159 0.427 0.249 x8
C 0.076 0.271 0.500 x8
C 0.250 0.250 0.000 x4

# 7
The following is a DFT calculation (GGA-PBE) of Lu4Bi3W2C3 after structural relaxation.

- Total moment: 0.0 μB per cell
- Electronic total energy: -7.278 eV/atom

a b c (Å): 10.386 6.040 14.875
angles (deg): 90.00 101.82 90.00
Space group C2/c (No. 15)
Symmetry-distinct sites (fractional):
Lu 0.110 0.073 0.087 x8
Lu 0.217 0.088 0.412 x8
Bi 0.000 0.115 0.750 x4
Bi 0.160 0.426 0.252 x8
W 0.073 0.409 0.935 x8
C 0.076 0.273 0.500 x8
C 0.250 0.250 0.000 x4

# 8
The following is a DFT calculation (GGA-PBE) of Y2Lu4Bi3C3 after structural relaxation.

- Total moment: 0.0 μB per cell
- Electronic total energy: -6.522 eV/atom

a b c (Å): 10.868 6.275 15.775
angles (deg): 90.00 103.29 90.00
Space group C2/c (No. 15)
Symmetry-distinct sites (fractional):
Y 0.054 0.083 0.413 x8
Lu 0.111 0.416 0.581 x8
Lu 0.223 0.417 0.919 x8
Bi 0.000 0.431 0.250 x4
Bi 0.174 0.090 0.750 x8
C 0.085 0.255 0.000 x8
C 0.250 0.250 0.500 x4